Density functional theory data (PBE-GGA) for Sm2HoOsC2 after structural relaxation.

Unit cell a=5.6350 b=11.1661 c=3.7837 alpha=90.00 beta=90.00 gamma=90.00
Last column: nearest neighbours and their distance in Å.
Element x y z (fractional)
1 Sm 0.0516 0.2084 0.0000  3 C 2.52-2.56
2 Sm 0.4484 0.7084 0.5000  3 C 2.52-2.56
3 Sm 0.5516 0.2916 0.5000  3 C 2.52-2.56
4 Sm 0.9484 0.7916 0.0000  3 C 2.52-2.56
5 Ho 0.0000 0.5000 0.5000  4 C 2.59
6 Ho 0.5000 0.0000 0.0000  4 C 2.59
7 Os 0.0000 0.0000 0.5000  2 C 1.98
8 Os 0.5000 0.5000 0.0000  2 C 1.98
9 C 0.2258 0.6102 0.0000  1 Os 1.98
10 C 0.2742 0.1102 0.5000  1 Os 1.98
11 C 0.7258 0.8898 0.5000  1 Os 1.98
12 C 0.7742 0.3898 0.0000  1 Os 1.98

Volume, Å³ per cell: 238.1
Crystal system: orthorhombic
Total magnetization, Bohr magnetons per cell: 0.000
Space-group type: Pnnm
DOS at the Fermi energy, states/eV/cell: 8.4
Formation energy, kJ per mole of atoms: -11.28

=====

Density functional theory data (PBE-GGA) for SmHo2OsC2 after structural relaxation.

Unit cell a=5.6228 b=11.0225 c=3.7520 alpha=90.00 beta=90.00 gamma=90.00
Last column: nearest neighbours and their distance in Å.
Element x y z (fractional)
1 Sm 0.0000 0.0000 0.0000  4 C 2.68
2 Sm 0.5000 0.5000 0.5000  4 C 2.68
3 Ho 0.0347 0.2954 0.5000  3 C 2.43-2.45
4 Ho 0.4653 0.7954 0.0000  3 C 2.43-2.45
5 Ho 0.5347 0.2046 0.0000  3 C 2.43-2.45
6 Ho 0.9653 0.7046 0.5000  3 C 2.43-2.45
7 Os 0.0000 0.5000 0.0000  2 C 1.99
8 Os 0.5000 0.0000 0.5000  2 C 1.99
9 C 0.2407 0.8765 0.5000  1 Os 1.99
10 C 0.2593 0.3765 0.0000  1 Os 1.99
11 C 0.7407 0.6235 0.0000  1 Os 1.99
12 C 0.7593 0.1235 0.5000  1 Os 1.99

Volume, Å³ per cell: 232.5
Crystal system: orthorhombic
Total magnetization, Bohr magnetons per cell: 0.000
Space-group type: Pnnm
DOS at the Fermi energy, states/eV/cell: 7.3
Formation energy, kJ per mole of atoms: -21.01

=====

Density functional theory data (PBE-GGA) for TbHo2OsC2 after structural relaxation.

Unit cell a=5.5760 b=10.9865 c=3.7090 alpha=90.00 beta=90.00 gamma=90.00
Last column: nearest neighbours and their distance in Å.
Element x y z (fractional)
1 Tb 0.0000 0.0000 0.0000  4 C 2.62
2 Tb 0.5000 0.5000 0.5000  4 C 2.62
3 Ho 0.0425 0.2941 0.5000  3 C 2.43-2.44
4 Ho 0.4575 0.7941 0.0000  3 C 2.43-2.44
5 Ho 0.5425 0.2059 0.0000  3 C 2.43-2.44
6 Ho 0.9575 0.7059 0.5000  3 C 2.43-2.44
7 Os 0.0000 0.5000 0.0000  2 C 2.00
8 Os 0.5000 0.0000 0.5000  2 C 2.00
9 C 0.2322 0.8791 0.5000  1 Os 2.00
10 C 0.2678 0.3791 0.0000  1 Os 2.00
11 C 0.7322 0.6209 0.0000  1 Os 2.00
12 C 0.7678 0.1209 0.5000  1 Os 2.00

Volume, Å³ per cell: 227.2
Crystal system: orthorhombic
Total magnetization, Bohr magnetons per cell: 0.000
Space-group type: Pnnm
DOS at the Fermi energy, states/eV/cell: 7.7
Formation energy, kJ per mole of atoms: -22.64

=====

Density functional theory data (PBE-GGA) for Ho2ThOsC4 after structural relaxation.

Unit cell a=6.2920 b=6.2920 c=12.0724 alpha=90.00 beta=90.00 gamma=147.60
Last column: nearest neighbours and their distance in Å.
Element x y z (fractional)
1 Ho 0.1294 0.8706 0.5403  6 C 2.40-2.65
2 Ho 0.1294 0.8706 0.9597  6 C 2.40-2.65
3 Ho 0.8706 0.1294 0.0403  6 C 2.40-2.65
4 Ho 0.8706 0.1294 0.4597  6 C 2.40-2.65
5 Th 0.4120 0.5880 0.7500  6 C 2.68-2.87
6 Th 0.5880 0.4120 0.2500  6 C 2.68-2.87
7 Os 0.3300 0.6700 0.2500  4 C 1.88-2.06
8 Os 0.6700 0.3300 0.7500  4 C 1.88-2.06
9 C 0.0801 0.9199 0.7500  2 Os 2.06
10 C 0.2321 0.7679 0.1295  1 Os 1.88
11 C 0.2321 0.7679 0.3705  1 Os 1.88
12 C 0.5000 0.5000 0.0000  4 Ho 2.40
13 C 0.5000 0.5000 0.5000  4 Ho 2.40
14 C 0.7679 0.2321 0.6295  1 Os 1.88
15 C 0.7679 0.2321 0.8705  1 Os 1.88
16 C 0.9199 0.0801 0.2500  2 Os 2.06

Volume, Å³ per cell: 256.1
Crystal system: orthorhombic
Total magnetization, Bohr magnetons per cell: 0.000
Space-group type: Cmcm
DOS at the Fermi energy, states/eV/cell: 6.9
Formation energy, kJ per mole of atoms: -9.35

=====

Density functional theory data (PBE-GGA) for Ho2TlOsC after structural relaxation.

Unit cell a=5.0222 b=5.0222 c=3.9474 alpha=90.00 beta=90.00 gamma=90.00
Last column: nearest neighbours and their distance in Å.
Element x y z (fractional)
1 Ho 0.0000 0.5000 0.0000  2 C 2.51
2 Ho 0.5000 0.0000 0.0000  2 C 2.51
3 Tl 0.0000 0.0000 0.5000  8 Ho 3.19, 4 Os 3.55
4 Os 0.5000 0.5000 0.5000  2 C 1.97
5 C 0.5000 0.5000 0.0000  2 Os 1.97

Volume, Å³ per cell: 99.6
Crystal system: tetragonal
Total magnetization, Bohr magnetons per cell: 0.000
Space-group type: P4/mmm
DOS at the Fermi energy, states/eV/cell: 2.6
Formation energy, kJ per mole of atoms: -33.52

=====

Density functional theory data (PBE-GGA) for Ho2TmOsC2 after structural relaxation.

Unit cell a=5.5364 b=10.9284 c=3.6648 alpha=90.00 beta=90.00 gamma=90.00
Last column: nearest neighbours and their distance in Å.
Element x y z (fractional)
1 Ho 0.0513 0.2075 0.0000  3 C 2.42-2.44
2 Ho 0.4487 0.7075 0.5000  3 C 2.42-2.44
3 Ho 0.5513 0.2925 0.5000  3 C 2.42-2.44
4 Ho 0.9487 0.7925 0.0000  3 C 2.42-2.44
5 Tm 0.0000 0.5000 0.5000  4 C 2.56
6 Tm 0.5000 0.0000 0.0000  4 C 2.56
7 Os 0.0000 0.0000 0.5000  2 C 2.01
8 Os 0.5000 0.5000 0.0000  2 C 2.01
9 C 0.2232 0.6184 0.0000  1 Os 2.01
10 C 0.2768 0.1184 0.5000  1 Os 2.01
11 C 0.7232 0.8816 0.5000  1 Os 2.01
12 C 0.7768 0.3816 0.0000  1 Os 2.01

Volume, Å³ per cell: 221.7
Crystal system: orthorhombic
Total magnetization, Bohr magnetons per cell: 0.000
Space-group type: Pnnm
DOS at the Fermi energy, states/eV/cell: 8.3
Formation energy, kJ per mole of atoms: -22.96

=====

Density functional theory data (PBE-GGA) for HoU2OsC4 after structural relaxation.

Unit cell a=6.0243 b=6.0243 c=11.7083 alpha=90.00 beta=90.00 gamma=146.27
Last column: nearest neighbours and their distance in Å.
Element x y z (fractional)
1 Ho 0.1109 0.8891 0.7500  6 C 2.56-2.75
2 Ho 0.8891 0.1109 0.2500  6 C 2.56-2.75
3 U 0.3698 0.6302 0.5464  6 C 2.30-2.55
4 U 0.3698 0.6302 0.9536  6 C 2.30-2.55
5 U 0.6302 0.3698 0.0464  6 C 2.30-2.55
6 U 0.6302 0.3698 0.4536  6 C 2.30-2.55
7 Os 0.1504 0.8496 0.2500  4 C 2.00-2.09
8 Os 0.8496 0.1504 0.7500  4 C 2.00-2.09
9 C 0.0000 0.0000 0.0000  4 U 2.37
10 C 0.0000 0.0000 0.5000  4 U 2.37
11 C 0.2619 0.7381 0.1190  1 Os 2.00
12 C 0.2619 0.7381 0.3810  1 Os 2.00
13 C 0.4486 0.5514 0.7500  2 Os 2.09
14 C 0.5514 0.4486 0.2500  2 Os 2.09
15 C 0.7381 0.2619 0.6190  1 Os 2.00
16 C 0.7381 0.2619 0.8810  1 Os 2.00

Volume, Å³ per cell: 235.9
Crystal system: orthorhombic
Total magnetization, Bohr magnetons per cell: 0.000
Space-group type: Cmcm
DOS at the Fermi energy, states/eV/cell: 15.2
Formation energy, kJ per mole of atoms: -3.85

=====

Density functional theory data (PBE-GGA) for Y2HoOsC2 after structural relaxation.

Unit cell a=5.5738 b=11.0200 c=3.7102 alpha=90.00 beta=90.00 gamma=90.00
Last column: nearest neighbours and their distance in Å.
Element x y z (fractional)
1 Y 0.0473 0.2077 0.0000  3 C 2.45-2.46
2 Y 0.4527 0.7077 0.5000  3 C 2.45-2.46
3 Y 0.5473 0.2923 0.5000  3 C 2.45-2.46
4 Y 0.9527 0.7923 0.0000  3 C 2.45-2.46
5 Ho 0.0000 0.5000 0.5000  4 C 2.60
6 Ho 0.5000 0.0000 0.0000  4 C 2.60
7 Os 0.0000 0.0000 0.5000  2 C 1.99
8 Os 0.5000 0.5000 0.0000  2 C 1.99
9 C 0.2281 0.6178 0.0000  1 Os 1.99
10 C 0.2719 0.1178 0.5000  1 Os 1.99
11 C 0.7281 0.8822 0.5000  1 Os 1.99
12 C 0.7719 0.3822 0.0000  1 Os 1.99

Volume, Å³ per cell: 227.9
Crystal system: orthorhombic
Total magnetization, Bohr magnetons per cell: 0.000
Space-group type: Pnnm
DOS at the Fermi energy, states/eV/cell: 8.4
Formation energy, kJ per mole of atoms: -20.87

=====

Density functional theory data (PBE-GGA) for Ho4PC2 after structural relaxation.

Unit cell a=6.2861 b=6.2861 c=12.1991 alpha=90.00 beta=90.00 gamma=145.55
Last column: nearest neighbours and their distance in Å.
Element x y z (fractional)
1 Ho 0.0000 0.0000 0.0000  4 C 2.58
2 Ho 0.0000 0.0000 0.5000  4 C 2.58
3 Ho 0.2666 0.7334 0.6097  3 C 2.39-2.51
4 Ho 0.2666 0.7334 0.8903  3 C 2.39-2.51
5 Ho 0.4402 0.5598 0.2500  2 C 2.48, 2 P 2.75
6 Ho 0.5598 0.4402 0.7500  2 C 2.48, 2 P 2.75
7 Ho 0.7334 0.2666 0.1097  3 C 2.39-2.51
8 Ho 0.7334 0.2666 0.3903  3 C 2.39-2.51
9 P 0.1093 0.8907 0.2500  6 Ho 2.75-2.94
10 P 0.8907 0.1093 0.7500  6 Ho 2.75-2.94
11 C 0.3642 0.6358 0.0609  6 Ho 2.39-2.58
12 C 0.3642 0.6358 0.4391  6 Ho 2.39-2.58
13 C 0.6358 0.3642 0.5609  6 Ho 2.39-2.58
14 C 0.6358 0.3642 0.9391  6 Ho 2.39-2.58

Volume, Å³ per cell: 272.7
Crystal system: orthorhombic
Total magnetization, Bohr magnetons per cell: 1.538
Space-group type: Cmcm
DOS at the Fermi energy, states/eV/cell: 5.0
Formation energy, kJ per mole of atoms: -65.76

=====

Density functional theory data (PBE-GGA) for Ho2PC after structural relaxation.

Unit cell a=3.6963 b=3.6963 c=19.2562 alpha=90.00 beta=90.00 gamma=120.00
Last column: nearest neighbours and their distance in Å.
Element x y z (fractional)
1 Ho 0.0000 0.0000 0.2389  3 C 2.55, 3 P 2.80
2 Ho 0.0000 0.0000 0.7611  3 C 2.55, 3 P 2.80
3 Ho 0.3333 0.6667 0.4277  3 C 2.55, 3 P 2.80
4 Ho 0.3333 0.6667 0.9056  3 C 2.55, 3 P 2.80
5 Ho 0.6667 0.3333 0.0944  3 C 2.55, 3 P 2.80
6 Ho 0.6667 0.3333 0.5723  3 C 2.55, 3 P 2.80
7 P 0.0000 0.0000 0.0000  6 Ho 2.80
8 P 0.3333 0.6667 0.6667  6 Ho 2.80
9 P 0.6667 0.3333 0.3333  6 Ho 2.80
10 C 0.0000 0.0000 0.5000  6 Ho 2.55
11 C 0.3333 0.6667 0.1667  6 Ho 2.55
12 C 0.6667 0.3333 0.8333  6 Ho 2.55

Volume, Å³ per cell: 227.8
Crystal system: trigonal
Total magnetization, Bohr magnetons per cell: 0.000
Space-group type: R-3m
DOS at the Fermi energy, states/eV/cell: 6.1
Formation energy, kJ per mole of atoms: -72.90

=====

Density functional theory data (PBE-GGA) for HoPC after structural relaxation.

Unit cell a=4.3799 b=3.8661 c=5.5717 alpha=90.00 beta=102.87 gamma=90.00
Last column: nearest neighbours and their distance in Å.
Element x y z (fractional)
1 Ho 0.1957 0.2500 0.2660  2 C 2.36-2.45
2 Ho 0.8043 0.7500 0.7340  2 C 2.36-2.45
3 P 0.3302 0.2500 0.7934  3 C 1.90-2.05
4 P 0.6698 0.7500 0.2066  3 C 1.90-2.05
5 C 0.3454 0.7500 0.9177  3 P 1.90-2.05
6 C 0.6546 0.2500 0.0823  3 P 1.90-2.05

Volume, Å³ per cell: 92.0
Crystal system: monoclinic
Total magnetization, Bohr magnetons per cell: 0.000
Space-group type: P2_1/m
DOS at the Fermi energy, states/eV/cell: 1.7
Formation energy, kJ per mole of atoms: -6.92

=====

Which value of DOS at the Fermi energy does entry 3 give?
7.7 states/eV/cell

=====

The lowest formation energy belongs to which entry?
Ho2PC

=====

Look up the DOS at the Fermi energy of the eleventh one.
1.7 states/eV/cell